[1]
Ce2Nd2Si4Pt | PBE | relaxed

Values from the calculation:
DOS at the Fermi energy in states/eV/cell: 8.91
Crystal system: tetragonal
Calculated total energy in eV/atom: -5.889

Cell: 6.547 6.547 6.547 Å, 114.13 114.13 100.50°
Positions (direct):
Ce 0.161 0.161 0.000
Ce 0.839 0.839 0.000
Nd 0.250 0.750 0.500
Nd 0.750 0.250 0.500
Si 0.260 0.260 0.519
Si 0.260 0.740 0.000
Si 0.740 0.260 0.000
Si 0.740 0.740 0.481
Pt 0.500 0.500 0.000



[2]
V2GeC | PBE | relaxed

Values from the calculation:
Energy above the lowest structure with this stoichiometry in eV per formula unit: 0.32
E_form in eV per formula unit: -1.64
DOS at the Fermi energy in states/eV/cell: 3.38
Crystal system: monoclinic

Cell: 2.964 2.964 6.555 Å, 101.34 101.34 60.81°
Positions (direct):
V 0.213 0.213 0.168
V 0.787 0.787 0.832
Ge 0.000 0.000 0.500
C 0.500 0.500 0.000



[3]
LaSmDy2 | PBE | relaxed

Values from the calculation:
Energy above the lowest structure with this stoichiometry in eV per formula unit: 0.05
E_form in eV per formula unit: 0.11
DOS at the Fermi energy in states/eV/cell: 6.51
Crystal system: tetragonal

Cell: 6.223 6.223 6.223 Å, 131.15 131.15 71.57°
Positions (direct):
La 0.000 0.000 0.000
Sm 0.500 0.500 0.000
Dy 0.250 0.750 0.500
Dy 0.750 0.250 0.500



[4]
CuPtCl4 | PBE | relaxed

Values from the calculation:
DOS at the Fermi energy in states/eV/cell: 7.76
Crystal system: monoclinic
Calculated total energy in eV/atom: -3.336

Cell: 6.280 4.342 12.527 Å, 90.00 112.73 90.00°
Positions (direct):
Cu 0.000 0.000 0.000
Cu 0.000 0.500 0.500
Pt 0.500 0.000 0.500
Pt 0.500 0.500 0.000
Cl 0.201 0.180 0.890
Cl 0.201 0.320 0.390
Cl 0.288 0.658 0.105
Cl 0.288 0.842 0.605
Cl 0.712 0.158 0.395
Cl 0.712 0.342 0.895
Cl 0.799 0.680 0.610
Cl 0.799 0.820 0.110



[5]
Pr2Te2Cl | PBE | relaxed

Values from the calculation:
Energy above the lowest structure with this stoichiometry in eV per formula unit: 0.11
DOS at the Fermi energy in states/eV/cell: 3.85
Crystal system: monoclinic

Cell: 6.369 4.594 11.876 Å, 90.00 102.21 90.00°
Positions (direct):
Pr 0.120 0.250 0.191
Pr 0.279 0.250 0.590
Pr 0.721 0.750 0.410
Pr 0.880 0.750 0.809
Te 0.212 0.750 0.391
Te 0.365 0.750 0.781
Te 0.635 0.250 0.219
Te 0.788 0.250 0.609
Cl 0.169 0.750 0.058
Cl 0.831 0.250 0.942



[6]
LiCa2Cr | PBE | relaxed

Values from the calculation:
E_form in eV per formula unit: 1.43
DOS at the Fermi energy in states/eV/cell: 3.38
Crystal system: orthorhombic

Cell: 3.805 3.836 7.966 Å, 90.00 90.00 90.00°
Positions (direct):
Li 0.000 0.000 0.000
Ca 0.500 0.500 0.264
Ca 0.500 0.500 0.736
Cr 0.000 0.000 0.500



[7]
Pm2PrY3Er6 | PBE | relaxed

Values from the calculation:
E_form in eV per formula unit: 0.27
DOS at the Fermi energy in states/eV/cell: 16.76
Crystal system: monoclinic

Cell: 6.180 6.180 11.776 Å, 95.01 95.01 119.95°
Positions (direct):
Pm 0.167 0.833 0.000
Pm 0.833 0.167 0.000
Pr 0.500 0.500 0.000
Y 0.000 0.000 0.500
Y 0.333 0.667 0.500
Y 0.667 0.333 0.500
Er 0.081 0.415 0.748
Er 0.251 0.251 0.252
Er 0.415 0.081 0.748
Er 0.585 0.919 0.252
Er 0.749 0.749 0.748
Er 0.919 0.585 0.252



[8]
CeHf2H8 | PBE | relaxed

Values from the calculation:
Energy above the lowest structure with this stoichiometry in eV per formula unit: 0.41
DOS at the Fermi energy in states/eV/cell: 6.72
Crystal system: orthorhombic

Cell: 5.955 5.955 5.955 Å, 148.78 122.44 66.95°
Positions (direct):
Ce 0.000 0.000 0.000
Hf 0.327 0.327 0.000
Hf 0.673 0.673 0.000
H 0.106 0.834 0.272
H 0.177 0.677 0.500
H 0.300 0.500 0.800
H 0.438 0.166 0.272
H 0.562 0.834 0.728
H 0.700 0.500 0.200
H 0.823 0.323 0.500
H 0.894 0.166 0.728



[9]
BaSrAlTl | PBE | relaxed

Values from the calculation:
E_form in eV per formula unit: -0.89
DOS at the Fermi energy in states/eV/cell: 3.08
Crystal system: cubic

Cell: 5.852 5.852 5.852 Å, 60.00 60.00 60.00°
Positions (direct):
Ba 0.000 0.000 0.000
Sr 0.500 0.500 0.500
Al 0.250 0.250 0.250
Tl 0.750 0.750 0.750



[10]
TlCd2As | PBE | relaxed

Values from the calculation:
Energy above the lowest structure with this stoichiometry in eV per formula unit: 0.41
E_form in eV per formula unit: 0.46
DOS at the Fermi energy in states/eV/cell: 1.11
Crystal system: monoclinic

Cell: 3.277 4.952 6.239 Å, 90.00 90.23 90.00°
Positions (direct):
Tl 0.000 0.000 0.000
Cd 0.497 0.500 0.746
Cd 0.503 0.500 0.254
As 0.500 0.000 0.500



[11]
Tm12InPd6 | PBE | relaxed

Values from the calculation:
Energy above the lowest structure with this stoichiometry in eV per formula unit: 0.00
E_form in eV per formula unit: -12.21
DOS at the Fermi energy in states/eV/cell: 20.39
Crystal system: cubic

Cell: 8.505 8.505 8.505 Å, 109.47 109.47 109.47°
Positions (direct):
Tm 0.112 0.817 0.295
Tm 0.183 0.295 0.479
Tm 0.183 0.705 0.888
Tm 0.295 0.112 0.817
Tm 0.295 0.479 0.183
Tm 0.479 0.183 0.295
Tm 0.521 0.817 0.705
Tm 0.705 0.521 0.817
Tm 0.705 0.888 0.183
Tm 0.817 0.295 0.112
Tm 0.817 0.705 0.521
Tm 0.888 0.183 0.705
In 0.000 0.000 0.000
Pd 0.138 0.638 0.500
Pd 0.362 0.500 0.862
Pd 0.500 0.138 0.638
Pd 0.500 0.862 0.362
Pd 0.638 0.500 0.138
Pd 0.862 0.362 0.500



[12]
Ac2Ga3NiGe4 | PBE | relaxed

Values from the calculation:
E_form in eV per formula unit: -4.25
DOS at the Fermi energy in states/eV/cell: 2.60
Crystal system: tetragonal

Cell: 4.671 4.671 9.806 Å, 90.00 90.00 90.00°
Positions (direct):
Ac 0.000 0.500 0.240
Ac 0.500 0.000 0.760
Ga 0.000 0.000 0.000
Ga 0.000 0.500 0.622
Ga 0.500 0.000 0.378
Ni 0.500 0.500 0.000
Ge 0.000 0.000 0.500
Ge 0.000 0.500 0.884
Ge 0.500 0.000 0.116
Ge 0.500 0.500 0.500



[13]
GaSeN2 | PBE | relaxed

Values from the calculation:
Energy above the lowest structure with this stoichiometry in eV per formula unit: 0.00
DOS at the Fermi energy in states/eV/cell: 1.27
Crystal system: trigonal

Cell: 6.153 6.153 6.153 Å, 29.62 29.62 29.62°
Positions (direct):
Ga 0.000 0.000 0.000
Se 0.500 0.500 0.500
N 0.392 0.392 0.392
N 0.608 0.608 0.608



[14]
Pm8Tm2Sc3 | PBE | relaxed

Values from the calculation:
Energy above the lowest structure with this stoichiometry in eV per formula unit: 0.00
E_form in eV per formula unit: 2.36
DOS at the Fermi energy in states/eV/cell: 20.82
Crystal system: monoclinic

Cell: 8.741 8.741 5.955 Å, 107.11 107.11 81.01°
Positions (direct):
Pm 0.087 0.087 0.252
Pm 0.112 0.578 0.855
Pm 0.363 0.363 0.382
Pm 0.422 0.888 0.145
Pm 0.578 0.112 0.855
Pm 0.637 0.637 0.618
Pm 0.888 0.422 0.145
Pm 0.913 0.913 0.748
Tm 0.181 0.181 0.820
Tm 0.819 0.819 0.180
Sc 0.229 0.771 0.500
Sc 0.500 0.500 0.000
Sc 0.771 0.229 0.500



[15]
Sc4BeRh | PBE | relaxed

Values from the calculation:
E_form in eV per formula unit: 2.95
DOS at the Fermi energy in states/eV/cell: 7.29
Crystal system: cubic

Cell: 5.489 5.489 5.489 Å, 60.00 60.00 60.00°
Positions (direct):
Sc 0.376 0.376 0.376
Sc 0.376 0.376 0.872
Sc 0.376 0.872 0.376
Sc 0.872 0.376 0.376
Be 0.000 0.000 0.000
Rh 0.750 0.750 0.750



[16]
Tl2SeS3 | PBE | relaxed

Values from the calculation:
Energy above the lowest structure with this stoichiometry in eV per formula unit: 0.11
DOS at the Fermi energy in states/eV/cell: 5.95
Crystal system: monoclinic

Cell: 7.383 7.383 8.409 Å, 110.15 110.15 47.56°
Positions (direct):
Tl 0.179 0.180 0.112
Tl 0.180 0.179 0.612
Tl 0.820 0.821 0.388
Tl 0.821 0.820 0.888
Se 0.436 0.564 0.750
Se 0.564 0.436 0.250
S 0.071 0.929 0.750
S 0.334 0.348 0.972
S 0.348 0.334 0.472
S 0.652 0.666 0.528
S 0.666 0.652 0.028
S 0.929 0.071 0.250